First-principles (PBE) data for Tb9ErSc2 after structural relaxation, as listed in the Alexandria database.

```
Tb9ErSc2
1.0
4.9625 0.0000 0.0000
0.0000 4.9625 0.0000
0.0000 0.0000 14.8597
Tb Er Sc
9 1 2
direct
0.0000 0.0000 0.0000 Tb
0.0000 0.0000 0.3355 Tb
0.0000 0.0000 0.6645 Tb
0.0000 0.5000 0.1705 Tb
0.0000 0.5000 0.5000 Tb
0.0000 0.5000 0.8295 Tb
0.5000 0.0000 0.1705 Tb
0.5000 0.0000 0.5000 Tb
0.5000 0.0000 0.8295 Tb
0.5000 0.5000 0.0000 Er
0.5000 0.5000 0.3350 Sc
0.5000 0.5000 0.6650 Sc
```

Properties
* formation enthalpy at 0 K: 0.4 eV/f.u.
* space-group type: P4/mmm (123)
* spin magnetization: 0.0 μB/cell